## P
Al2CuSn2 | PBE | relaxed

Size of the total moment ... 0.00 μB per cell
SG ... No. 127

Structure (POSCAR):
```
Al2CuSn2
1.0
-5.601 -4.395 1.096
2.693 -1.829 6.426
-2.156 3.200 1.814
Sn Cu Al
4 2 4
direct
0.331 0.831 0.000 Sn
0.831 0.669 0.000 Sn
0.669 0.169 0.000 Sn
0.169 0.331 0.000 Sn
0.000 0.000 0.000 Cu
0.500 0.500 0.000 Cu
0.136 0.636 0.500 Al
0.636 0.864 0.500 Al
0.864 0.364 0.500 Al
0.364 0.136 0.500 Al
```

=====

## Q
Al2CuSn2 | PBE | relaxed

Size of the total moment ... 0.00 μB per cell
SG ... No. 127

Structure (POSCAR):
```
Al2CuSn2
1.0
6.575 0.000 0.000
0.000 6.575 0.000
0.000 0.000 4.834
Sn Cu Al
4 2 4
direct
0.177 0.677 0.500 Sn
0.677 0.823 0.500 Sn
0.823 0.323 0.500 Sn
0.323 0.177 0.500 Sn
0.000 0.000 0.000 Cu
0.500 0.500 0.000 Cu
0.355 0.855 0.000 Al
0.855 0.645 0.000 Al
0.645 0.145 0.000 Al
0.145 0.355 0.000 Al
```

=====

Relative energies, in meV per atom, with the most stable structure set to zero: P 142; Q 0.